Entry 1:
## ZnGa2HgPt (GGA-PBE)

Data for a relaxed structure of ZnGa2HgPt.

a = 4.843 Å, b = 4.843 Å, c = 4.988 Å
α = 90.00°, β = 90.00°, γ = 90.00°
Element x y z (fractional)
Ga (0.000, 0.500, 0.000)
Ga (0.500, 0.000, 0.000)
Pt (0.000, 0.000, 0.000)
Zn (0.000, 0.000, 0.500)
Hg (0.500, 0.500, 0.500)

energy of formation: -0.23 eV per atom
VASP energy: -14.81 eV for the cell shown

Entry 2:
## Fe2CoAu (GGA-PBE)

Data for a relaxed structure of Fe2CoAu.

a = 4.580 Å, b = 4.580 Å, c = 4.580 Å
α = 131.51°, β = 131.51°, γ = 71.00°
Element x y z (fractional)
Co (0.750, 0.250, 0.500)
Au (0.250, 0.750, 0.500)
Fe (0.000, 0.000, 0.000)
Fe (0.500, 0.500, 0.000)

energy of formation: 0.10 eV per atom
energy above the lowest structure with this stoichiometry: 0.014 eV per atom
VASP energy: -26.91 eV for the cell shown